(1)
# SrCa5 (PBE, optimized geometry)
data_SrCa5
_cell_length_a 5.584
_cell_length_b 16.775
_cell_length_c 5.629
_cell_angle_alpha 90.00
_cell_angle_beta 90.00
_cell_angle_gamma 90.00
_symmetry_space_group_name_H-M 'C m m m'
_symmetry_Int_Tables_number 65
_symmetry_space_group_name_Hall '-C 2 2'
loop_
_atom_site_label
_atom_site_type_symbol
_atom_site_fract_x
_atom_site_fract_y
_atom_site_fract_z
_atom_site_occupancy
Sr1 Sr 0.000 0.000 0.000 1
Ca1 Ca 0.000 0.169 0.500 1
Ca2 Ca 0.000 0.330 0.000 1
Ca3 Ca 0.000 0.500 0.500 1
# E above lowest polymorph = 0.000 eV per atom
# DFT formation energy = 0.011 eV/atom

(2)
# InCuSe2 (PBE, optimized geometry)
data_InCuSe2
_cell_length_a 3.9991
_cell_length_b 3.9991
_cell_length_c 6.6691
_cell_angle_alpha 90.00
_cell_angle_beta 90.00
_cell_angle_gamma 120.00
_symmetry_space_group_name_H-M 'P 3 m 1'
_symmetry_Int_Tables_number 156
loop_
_symmetry_equiv_pos_as_xyz
'x,y,z'
'-y,x-y,z'
'-x+y,-x,z'
'-y,-x,z'
'-x+y,y,z'
'x,x-y,z'
loop_
_atom_site_label
_atom_site_type_symbol
_atom_site_fract_x
_atom_site_fract_y
_atom_site_fract_z
_atom_site_occupancy
In1 In 0.0000 0.0000 0.0000 1
Cu1 Cu 0.3333 0.6667 0.5717 1
Se1 Se 0.3333 0.6667 0.2161 1
Se2 Se 0.6667 0.3333 0.7204 1
# raw formation energy = -0.325 eV per atom

(3)
# TePb (PBE, optimized geometry)
data_TePb
_cell_length_a 3.991
_cell_length_b 3.991
_cell_length_c 3.991
_cell_angle_alpha 90.00
_cell_angle_beta 90.00
_cell_angle_gamma 90.00
_symmetry_space_group_name_H-M 'P m -3 m'
_symmetry_Int_Tables_number 221
_symmetry_space_group_name_Hall '-P 4 2 3'
loop_
_atom_site_label
_atom_site_type_symbol
_atom_site_fract_x
_atom_site_fract_y
_atom_site_fract_z
_atom_site_occupancy
Te1 Te 0.000 0.000 0.000 1
Pb1 Pb 0.500 0.500 0.500 1
# raw formation energy = -0.179 eV per atom

(4)
# Mg2AlTc (PBE, optimized geometry)
data_Mg2AlTc
_cell_length_a 2.801
_cell_length_b 2.801
_cell_length_c 8.841
_cell_angle_alpha 90.00
_cell_angle_beta 90.00
_cell_angle_gamma 90.00
_symmetry_space_group_name_H-M 'P 4/m m m'
_symmetry_Int_Tables_number 123
_symmetry_space_group_name_Hall '-P 4 2'
loop_
_atom_site_label
_atom_site_type_symbol
_atom_site_fract_x
_atom_site_fract_y
_atom_site_fract_z
_atom_site_occupancy
Mg1 Mg 0.000 0.000 0.238 1
Al1 Al 0.500 0.500 0.500 1
Tc1 Tc 0.500 0.500 0.000 1
# DFT formation energy = 0.178 eV/atom

(5)
VASP calculation (PBE) on a geometry-optimized ScAg2SbH structure.

```
data_ScAg2SbH
_cell_length_a 4.293
_cell_length_b 4.293
_cell_length_c 4.536
_cell_angle_alpha 90.00
_cell_angle_beta 90.00
_cell_angle_gamma 90.00
_symmetry_space_group_name_H-M 'P 4/m m m'
_symmetry_Int_Tables_number 123
_symmetry_space_group_name_Hall '-P 4 2'
loop_
_atom_site_label
_atom_site_type_symbol
_atom_site_fract_x
_atom_site_fract_y
_atom_site_fract_z
_atom_site_occupancy
Sc1 Sc 0.000 0.000 0.000 1
Ag1 Ag 0.000 0.500 0.500 1
Sb1 Sb 0.500 0.500 0.000 1
H1 H 0.000 0.000 0.500 1
```

(6)
# KCrTe2Au (PBE, optimized geometry)
data_KCrTe2Au
_cell_length_a 6.603
_cell_length_b 15.150
_cell_length_c 6.282
_cell_angle_alpha 90.00
_cell_angle_beta 90.00
_cell_angle_gamma 90.00
_symmetry_space_group_name_H-M 'C m m e'
_symmetry_Int_Tables_number 67
_symmetry_space_group_name_Hall '-C 2a 2'
loop_
_atom_site_label
_atom_site_type_symbol
_atom_site_fract_x
_atom_site_fract_y
_atom_site_fract_z
_atom_site_occupancy
K1 K 0.000 0.250 0.216 1
Cr1 Cr 0.250 0.000 0.500 1
Te1 Te 0.000 0.120 0.699 1
Au1 Au 0.000 0.000 0.000 1
# raw formation energy = -0.334 eV per atom

(7)
# CdGaNiPd (PBE, optimized geometry)
data_CdGaNiPd
_cell_length_a 6.249
_cell_length_b 6.249
_cell_length_c 6.249
_cell_angle_alpha 90.00
_cell_angle_beta 90.00
_cell_angle_gamma 90.00
_symmetry_space_group_name_H-M 'F -4 3 m'
_symmetry_Int_Tables_number 216
_symmetry_space_group_name_Hall 'F -4 2 3'
loop_
_atom_site_label
_atom_site_type_symbol
_atom_site_fract_x
_atom_site_fract_y
_atom_site_fract_z
_atom_site_occupancy
Cd1 Cd 0.000 0.000 0.000 1
Ga1 Ga 0.000 0.000 0.500 1
Ni1 Ni 0.250 0.250 0.250 1
Pd1 Pd 0.250 0.250 0.750 1
# DFT formation energy = -0.246 eV/atom

Table of ρ (g/cm3), in record order: 1.81, 6.05, 8.75, 4.15, 7.62, 5.74, 9.45
Table of DFT total energy (eV per atom), in record order: -1.94, -3.78, -3.60, -4.15, -4.14, -4.39, -3.98